Entry from the Alexandria database: a geometry-optimized MgTa2Br structure (PBE).

Cell lengths 3.5790, 3.1541, 8.1555 Å; angles 90.00, 90.92, 90.00 degrees
Fractional coordinates of all 4 atoms:
Mg: 0.0000 0.0000 0.0000
Ta: 0.4899 0.5000 0.7715
Ta: 0.9832 0.0000 0.5924
Br: 0.9651 0.5000 0.3181

Calculated values
Its density of states at the Fermi level is 3.021 states/eV/f.u. The value obtained for the uncorrected formation energy is 0.14 eV/atom. The energy above the lowest structure with this stoichiometry is 0.0 meV per atom. The total moment comes out at 0.000 Bohr magnetons per cell. The symmetry is Pm (6).